# 1
{"formula": "VCOF2", "functional": "PBE with a Hubbard U", "state": "relaxed", "crystal_system": "tetragonal", "dos_at_fermi_per_ev_fu": 1.57, "de_polymorph_ev_per_atom": 0.3808, "total_magnetization_mub_per_atom": 0.261, "space_group": "P4/mmm, No. 123", "lattice_angstrom": [[4.1690, 0.0000, 0.0000], [0.0000, 4.1690, 0.0000], [0.0000, 0.0000, 3.1303]], "species": ["V", "C", "O", "F", "F"], "frac_coords": [[0.0000, 0.0000, 0.0000], [0.5000, 0.5000, 0.5000], [0.5000, 0.5000, 0.0000], [0.0000, 0.5000, 0.5000], [0.5000, 0.0000, 0.5000]]}

=====

# 2
{"formula": "VCOF2", "functional": "PBE with a Hubbard U", "state": "relaxed", "crystal_system": "tetragonal", "dos_at_fermi_per_ev_fu": 8.18, "de_polymorph_ev_per_atom": 0.0000, "total_magnetization_mub_per_atom": 0.297, "space_group": "P4/mmm, No. 123", "lattice_angstrom": [[3.9775, 0.0000, 0.0000], [0.0000, 3.9775, 0.0000], [0.0000, 0.0000, 3.7061]], "species": ["V", "C", "O", "F", "F"], "frac_coords": [[0.0000, 0.0000, 0.0000], [0.5000, 0.5000, 0.5000], [0.0000, 0.0000, 0.5000], [0.0000, 0.5000, 0.0000], [0.5000, 0.0000, 0.0000]]}

=====

# 3
{"formula": "WCO2F", "functional": "PBE with a Hubbard U", "state": "relaxed", "crystal_system": "tetragonal", "final_energy_ev_per_atom": -5.1204, "dos_at_fermi_per_ev_fu": 0.98, "total_magnetization_mub_per_atom": 0.628, "space_group": "P4/mmm, No. 123", "lattice_angstrom": [[3.7882, 0.0000, 0.0000], [0.0000, 3.7882, 0.0000], [0.0000, 0.0000, 3.5353]], "species": ["W", "C", "O", "O", "F"], "frac_coords": [[0.0000, 0.0000, 0.0000], [0.5000, 0.5000, 0.5000], [0.0000, 0.5000, 0.5000], [0.5000, 0.0000, 0.5000], [0.5000, 0.5000, 0.0000]]}

=====

# 4
{"formula": "WCO2F", "functional": "PBE with a Hubbard U", "state": "relaxed", "crystal_system": "tetragonal", "final_energy_ev_per_atom": -5.7197, "dos_at_fermi_per_ev_fu": 4.33, "total_magnetization_mub_per_atom": 0.143, "space_group": "P4/mmm, No. 123", "lattice_angstrom": [[3.9241, 0.0000, 0.0000], [0.0000, 3.9241, 0.0000], [0.0000, 0.0000, 4.1788]], "species": ["W", "C", "O", "O", "F"], "frac_coords": [[0.0000, 0.0000, 0.0000], [0.5000, 0.5000, 0.5000], [0.0000, 0.5000, 0.0000], [0.5000, 0.0000, 0.0000], [0.0000, 0.0000, 0.5000]]}